# LiIn2Hg7

A geometry-optimized LiIn2Hg7 structure (PBE, the Alexandria database).

energy of formation: -0.04 eV/atom
N(E_F): 0.25 states/eV per atom
space-group type: P3m1, No. 156

The structure in extended XYZ format:
```
10
Lattice="-2.217 -4.130 1.956 4.916 -0.118 -1.271 2.969 3.682 11.138" Properties=species:S:1:pos:R:3 pbc="T T T"
Hg 5.492 2.208 10.885
Hg 3.782 0.087 4.469
Hg 0.483 -2.393 2.090
Hg 2.720 0.381 10.481
Hg 1.926 -0.604 7.501
Hg 0.717 0.889 2.689
Hg 2.274 2.820 8.531
In 1.206 -1.496 4.801
In 4.543 1.032 7.327
Li 0.009 0.011 0.033
```